Entry 1:
VASP calculation (GGA-PBE) on a geometry-optimized TlSnHBr2 structure.

Values from the calculation:
**Mass density**: 5.59 g/cm³

a = 5.9339 Å, b = 5.9339 Å, c = 4.0853 Å
α = 90.00°, β = 90.00°, γ = 90.00°
Sites, in units of the cell vectors:
Br 0.0000 0.5000 0.0000
H 0.0000 0.0000 0.5000
Sn 0.0000 0.0000 0.0000
Tl 0.5000 0.5000 0.5000
Br 0.5000 0.0000 0.0000

Entry 2:
VASP calculation (GGA-PBE) on a geometry-optimized Sr2HBr3 structure.

Values from the calculation:
**Mass density**: 3.50 g/cm³

a = 4.6465 Å, b = 8.6394 Å, c = 11.1036 Å
α = 67.73°, β = 77.92°, γ = 74.40°
Sites, in units of the cell vectors:
Br 0.6560 0.6899 0.9981
H 0.5659 0.5084 0.3598
Br 0.3440 0.3101 0.0019
Sr 0.1414 0.5363 0.1809
Br 0.0539 0.1395 0.7527
Sr 0.8586 0.4637 0.8191
Sr 0.3990 0.7620 0.4401
H 0.4341 0.4916 0.6402
Br 0.2182 0.1772 0.3864
Br 0.9461 0.8605 0.2473
Br 0.7818 0.8228 0.6136
Sr 0.6010 0.2380 0.5599

Entry 3:
VASP calculation (GGA-PBE) on a geometry-optimized Sr3H5Br structure.

Values from the calculation:
**Mass density**: 3.73 g/cm³

a = 4.0223 Å, b = 6.9056 Å, c = 11.6689 Å
α = 90.00°, β = 90.00°, γ = 106.93°
Sites, in units of the cell vectors:
Br 0.1698 0.3397 0.2500
Sr 0.6244 0.2487 0.4597
Sr 0.3756 0.7513 0.5403
H 0.8081 0.6163 0.0663
H 0.8081 0.6163 0.4337
H 0.1919 0.3837 0.5663
H 0.4587 0.9174 0.1422
Sr 0.3756 0.7513 0.9597
Sr 0.9124 0.8247 0.2500
H 0.1919 0.3837 0.9337
Sr 0.0876 0.1753 0.7500
H 0.0000 0.0000 0.5000
Br 0.8302 0.6603 0.7500
H 0.4587 0.9174 0.3578
H 0.5413 0.0826 0.8578
H 0.0000 0.0000 0.0000
H 0.5413 0.0826 0.6422
Sr 0.6244 0.2487 0.0403

Entry 4:
VASP calculation (GGA-PBE) on a geometry-optimized SrH2Br4 structure.

Values from the calculation:
**Mass density**: 3.49 g/cm³

a = 7.9879 Å, b = 7.9879 Å, c = 7.9879 Å
α = 106.84°, β = 106.84°, γ = 114.88°
Sites, in units of the cell vectors:
H 0.4312 0.3750 0.5562
Sr 0.0000 0.0000 0.0000
H 0.1250 0.5688 0.9438
H 0.6250 0.1812 0.0562
Br 0.8570 0.7383 0.2657
Br 0.4087 0.1430 0.8813
Br 0.3930 0.1587 0.3813
Br 0.8413 0.2226 0.2343
H 0.8188 0.8750 0.4438
Br 0.9883 0.6070 0.7657
Br 0.2617 0.5274 0.1187
Br 0.7774 0.0117 0.6187
Br 0.4726 0.5913 0.7343
Sr 0.2500 0.7500 0.5000

Number 1: total magnetic moment 0.000 μB per atom, energy -15.0 eV per cell. Number 2: total magnetic moment 0.000 μB per atom, energy -43.8 eV per cell. Number 3: total magnetic moment 0.000 μB per atom, energy -61.8 eV per cell. Number 4: total magnetic moment 0.000 μB per atom, energy -44.2 eV per cell.